(1)
Rb2AlFe | PBE | relaxed

The structure in CIF format:
```
data_Rb2AlFe
_symmetry_space_group_name_H-M 'F m -3 m'
_symmetry_Int_Tables_number 225
_symmetry_space_group_name_Hall '-F 4 2 3'
_cell_length_a 8.6047
_cell_length_b 8.6047
_cell_length_c 8.6047
_cell_angle_alpha 90.00
_cell_angle_beta 90.00
_cell_angle_gamma 90.00
loop_
_atom_site_label
_atom_site_fract_x
_atom_site_fract_y
_atom_site_fract_z
_atom_site_occupancy
Rb1 0.2500 0.2500 0.2500 1
Al1 0.0000 0.0000 0.0000 1
Fe1 0.0000 0.0000 0.5000 1
```

---

(2)
Rb2AlFe | PBE | relaxed

The structure in CIF format:
```
data_Rb2AlFe
_symmetry_space_group_name_H-M 'I -4 2 d'
_symmetry_Int_Tables_number 122
_symmetry_space_group_name_Hall 'I -4 2bw'
_cell_length_a 13.3203
_cell_length_b 13.3203
_cell_length_c 4.7797
_cell_angle_alpha 90.00
_cell_angle_beta 90.00
_cell_angle_gamma 90.00
loop_
_atom_site_label
_atom_site_fract_x
_atom_site_fract_y
_atom_site_fract_z
_atom_site_occupancy
Rb1 0.0557 0.2500 0.1250 1
Al1 0.0000 0.0000 0.5000 1
Fe1 0.0000 0.0000 0.0000 1
```

---

Most stable structure - (2); separation to the second - 425 meV per atom.

---

(1)
AlFeRe3 | PBE | relaxed

The structure in CIF format:
```
data_AlFeRe3
_symmetry_space_group_name_H-M 'P m -3 m'
_symmetry_Int_Tables_number 221
_symmetry_space_group_name_Hall '-P 4 2 3'
_cell_length_a 4.4061
_cell_length_b 4.4061
_cell_length_c 4.4061
_cell_angle_alpha 90.00
_cell_angle_beta 90.00
_cell_angle_gamma 90.00
loop_
_atom_site_label
_atom_site_fract_x
_atom_site_fract_y
_atom_site_fract_z
_atom_site_occupancy
Al1 0.0000 0.0000 0.0000 1
Fe1 0.5000 0.5000 0.5000 1
Re1 0.0000 0.5000 0.5000 1
```

---

(2)
AlFeRe3 | PBE | relaxed

The structure in CIF format:
```
data_AlFeRe3
_symmetry_space_group_name_H-M 'P m -3 m'
_symmetry_Int_Tables_number 221
_symmetry_space_group_name_Hall '-P 4 2 3'
_cell_length_a 4.3793
_cell_length_b 4.3793
_cell_length_c 4.3793
_cell_angle_alpha 90.00
_cell_angle_beta 90.00
_cell_angle_gamma 90.00
loop_
_atom_site_label
_atom_site_fract_x
_atom_site_fract_y
_atom_site_fract_z
_atom_site_occupancy
Al1 0.0000 0.0000 0.0000 1
Fe1 0.5000 0.5000 0.5000 1
Re1 0.0000 0.0000 0.5000 1
```

---

Most stable structure - (1); separation to the second - 665 meV per atom.

---

(1)
Al2Fe2Re | PBE | relaxed

The structure in CIF format:
```
data_Al2Fe2Re
_symmetry_space_group_name_H-M 'P 4/m b m'
_symmetry_Int_Tables_number 127
_symmetry_space_group_name_Hall '-P 4 2ab'
_cell_length_a 7.1372
_cell_length_b 7.1372
_cell_length_c 2.6016
_cell_angle_alpha 90.00
_cell_angle_beta 90.00
_cell_angle_gamma 90.00
loop_
_atom_site_label
_atom_site_fract_x
_atom_site_fract_y
_atom_site_fract_z
_atom_site_occupancy
Al1 0.1811 0.3189 0.0000 1
Fe1 0.1156 0.6156 0.5000 1
Re1 0.0000 0.0000 0.5000 1
```

---

(2)
Al2Fe2Re | PBE | relaxed

The structure in CIF format:
```
data_Al2Fe2Re
_symmetry_space_group_name_H-M 'P 4/m b m'
_symmetry_Int_Tables_number 127
_symmetry_space_group_name_Hall '-P 4 2ab'
_cell_length_a 6.8597
_cell_length_b 6.8597
_cell_length_c 2.7328
_cell_angle_alpha 90.00
_cell_angle_beta 90.00
_cell_angle_gamma 90.00
loop_
_atom_site_label
_atom_site_fract_x
_atom_site_fract_y
_atom_site_fract_z
_atom_site_occupancy
Al1 0.1355 0.3645 0.0000 1
Fe1 0.1616 0.6616 0.5000 1
Re1 0.0000 0.0000 0.0000 1
```

---

Most stable structure - (2); separation to the second - 42 meV per atom.

---

(1)
Al4FeRh | PBE | relaxed

The structure in CIF format:
```
data_Al4FeRh
_symmetry_space_group_name_H-M 'R -3 m'
_symmetry_Int_Tables_number 166
_symmetry_space_group_name_Hall '-R 3 2"'
_cell_length_a 4.0528
_cell_length_b 4.0528
_cell_length_c 20.2812
_cell_angle_alpha 90.00
_cell_angle_beta 90.00
_cell_angle_gamma 120.00
loop_
_atom_site_label
_atom_site_fract_x
_atom_site_fract_y
_atom_site_fract_z
_atom_site_occupancy
Al1 0.0000 0.0000 0.1196 1
Al2 0.0000 0.0000 0.3721 1
Fe1 0.0000 0.0000 0.0000 1
Rh1 0.0000 0.0000 0.5000 1
```

---

(2)
Al4FeRh | PBE | relaxed

The structure in CIF format:
```
data_Al4FeRh
_symmetry_space_group_name_H-M 'F -4 3 m'
_symmetry_Int_Tables_number 216
_symmetry_space_group_name_Hall 'F -4 2 3'
_cell_length_a 7.0525
_cell_length_b 7.0525
_cell_length_c 7.0525
_cell_angle_alpha 90.00
_cell_angle_beta 90.00
_cell_angle_gamma 90.00
loop_
_atom_site_label
_atom_site_fract_x
_atom_site_fract_y
_atom_site_fract_z
_atom_site_occupancy
Al1 0.1250 0.1250 0.1250 1
Fe1 0.2500 0.2500 0.7500 1
Rh1 0.0000 0.0000 0.5000 1
```

---

Most stable structure - (1); separation to the second - 402 meV per atom.

---

(1)
Al2FeRh2 | PBE | relaxed

The structure in CIF format:
```
data_Al2FeRh2
_symmetry_space_group_name_H-M 'P 4/m b m'
_symmetry_Int_Tables_number 127
_symmetry_space_group_name_Hall '-P 4 2ab'
_cell_length_a 6.9587
_cell_length_b 6.9587
_cell_length_c 2.8422
_cell_angle_alpha 90.00
_cell_angle_beta 90.00
_cell_angle_gamma 90.00
loop_
_atom_site_label
_atom_site_fract_x
_atom_site_fract_y
_atom_site_fract_z
_atom_site_occupancy
Al1 0.1399 0.3601 0.0000 1
Fe1 0.0000 0.0000 0.0000 1
Rh1 0.1604 0.6604 0.5000 1
```

---

(2)
Al2FeRh2 | PBE | relaxed

The structure in CIF format:
```
data_Al2FeRh2
_symmetry_space_group_name_H-M 'P 4/m b m'
_symmetry_Int_Tables_number 127
_symmetry_space_group_name_Hall '-P 4 2ab'
_cell_length_a 7.0194
_cell_length_b 7.0194
_cell_length_c 2.8732
_cell_angle_alpha 90.00
_cell_angle_beta 90.00
_cell_angle_gamma 90.00
loop_
_atom_site_label
_atom_site_fract_x
_atom_site_fract_y
_atom_site_fract_z
_atom_site_occupancy
Al1 0.1556 0.3444 0.0000 1
Fe1 0.0000 0.0000 0.5000 1
Rh1 0.1437 0.6437 0.5000 1
```

---

Most stable structure - (1); separation to the second - 62 meV per atom.

---

(1)
AlFeRh3 | PBE | relaxed

The structure in CIF format:
```
data_AlFeRh3
_symmetry_space_group_name_H-M 'P m -3 m'
_symmetry_Int_Tables_number 221
_symmetry_space_group_name_Hall '-P 4 2 3'
_cell_length_a 4.4158
_cell_length_b 4.4158
_cell_length_c 4.4158
_cell_angle_alpha 90.00
_cell_angle_beta 90.00
_cell_angle_gamma 90.00
loop_
_atom_site_label
_atom_site_fract_x
_atom_site_fract_y
_atom_site_fract_z
_atom_site_occupancy
Al1 0.0000 0.0000 0.0000 1
Fe1 0.5000 0.5000 0.5000 1
Rh1 0.0000 0.5000 0.5000 1
```

---

(2)
AlFeRh3 | PBE | relaxed

The structure in CIF format:
```
data_AlFeRh3
_symmetry_space_group_name_H-M 'P m -3 m'
_symmetry_Int_Tables_number 221
_symmetry_space_group_name_Hall '-P 4 2 3'
_cell_length_a 4.3914
_cell_length_b 4.3914
_cell_length_c 4.3914
_cell_angle_alpha 90.00
_cell_angle_beta 90.00
_cell_angle_gamma 90.00
loop_
_atom_site_label
_atom_site_fract_x
_atom_site_fract_y
_atom_site_fract_z
_atom_site_occupancy
Al1 0.0000 0.0000 0.0000 1
Fe1 0.5000 0.5000 0.5000 1
Rh1 0.0000 0.0000 0.5000 1
```

---

Most stable structure - (1); separation to the second - 218 meV per atom.